[1]
! PBE Li5TlSn4, optimized geometry; values from VASP
&SYSTEM
  ibrav = 0, nat = 10, ntyp = 3
/
ATOMIC_SPECIES
Li 6.94 Li.upf
Tl 204.38 Tl.upf
Sn 118.71 Sn.upf
CELL_PARAMETERS angstrom
-3.215 0.218 -1.006
0.699 -1.960 -2.658
-4.026 -14.598 9.706
ATOMIC_POSITIONS crystal
Li 0.500 0.500 0.102
Li 0.500 0.500 0.300
Li 0.500 0.500 0.500
Li 0.500 0.500 0.700
Li 0.500 0.500 0.898
Tl 0.000 0.000 0.000
Sn 0.000 0.000 0.199
Sn 0.000 0.000 0.402
Sn 0.000 0.000 0.598
Sn 0.000 0.000 0.801
! DFT formation energy	-0.300	eV per atom
! magnetization	0.00	μB/atom
! energy	-3.10	eV/atom
! SG	No. 123


[2]
! PBE LiTlSn, optimized geometry; values from VASP
&SYSTEM
  ibrav = 0, nat = 6, ntyp = 3
/
ATOMIC_SPECIES
Li 6.94 Li.upf
Tl 204.38 Tl.upf
Sn 118.71 Sn.upf
CELL_PARAMETERS angstrom
-3.074 -0.741 0.417
0.234 -2.955 -3.512
1.512 -7.749 6.622
ATOMIC_POSITIONS crystal
Li 0.620 0.415 0.022
Li 0.555 0.915 0.178
Tl 0.772 0.415 0.717
Tl 0.403 0.915 0.482
Sn 0.016 0.415 0.277
Sn 0.159 0.915 0.922
! DFT formation energy	-0.155	eV per atom
! magnetization	0.00	μB/atom
! energy	-2.92	eV/atom
! SG	No. 11


[3]
! PBE LiTlSn, optimized geometry; values from VASP
&SYSTEM
  ibrav = 0, nat = 6, ntyp = 3
/
ATOMIC_SPECIES
Tl 204.38 Tl.upf
Sn 118.71 Sn.upf
Li 6.94 Li.upf
CELL_PARAMETERS angstrom
-3.704 3.767 -0.282
-0.883 -4.370 2.848
2.505 2.850 5.150
ATOMIC_POSITIONS crystal
Tl 0.333 0.667 0.250
Tl 0.667 0.333 0.750
Sn 0.333 0.667 0.750
Sn 0.667 0.333 0.250
Li 0.000 0.000 0.000
Li 0.000 0.000 0.500
! DFT formation energy	-0.067	eV per atom
! magnetization	0.00	μB/atom
! energy	-2.83	eV/atom
! SG	No. 194